# 1
A relaxed LiSn crystal. Source: the Alexandria database, functional GGA-PBE.

Computed properties:
ΔE_f (eV per atom): -0.326
E (eV per atom): -3.2846
Magnetization (μB per atom): 0.000

Structure (CIF):
```
data_LiSn
_chemical_formula_sum 'Li3 Sn3'
_cell_length_a 5.141
_cell_length_b 3.209
_cell_length_c 7.831
_cell_angle_alpha 90.00
_cell_angle_beta 106.07
_cell_angle_gamma 90.00
_symmetry_space_group_name_H-M 'P 1 2/m 1'
_symmetry_Int_Tables_number 10
loop_
_symmetry_equiv_pos_as_xyz
'x,y,z'
'-x,-y,-z'
'-x,y,-z'
'x,-y,z'
loop_
_atom_site_label
_atom_site_fract_x
_atom_site_fract_y
_atom_site_fract_z
Li1 0.000 0.000 0.000
Li2 0.240 0.000 0.671
Sn1 0.251 0.500 0.339
Sn2 0.500 0.500 0.000
```


# 2
A relaxed NaSr2In3Sn4 crystal. Source: the Alexandria database, functional GGA-PBE.

Computed properties:
ΔE_f (eV per atom): -0.266
E (eV per atom): -3.1572
Magnetization (μB per atom): 0.000

Structure (CIF):
```
data_NaSr2In3Sn4
_chemical_formula_sum 'Na1 Sr2 In3 Sn4'
_cell_length_a 5.014
_cell_length_b 5.014
_cell_length_c 12.495
_cell_angle_alpha 90.00
_cell_angle_beta 90.00
_cell_angle_gamma 90.00
_symmetry_space_group_name_H-M 'P -4 m 2'
_symmetry_Int_Tables_number 115
loop_
_symmetry_equiv_pos_as_xyz
'x,y,z'
'y,-x,-z'
'-x,-y,z'
'-y,x,-z'
'-x,y,z'
'-y,-x,-z'
'x,-y,z'
'y,x,-z'
loop_
_atom_site_label
_atom_site_fract_x
_atom_site_fract_y
_atom_site_fract_z
Na1 0.000 0.000 0.000
Sr1 0.000 0.500 0.744
In1 0.000 0.500 0.368
In2 0.500 0.500 0.000
Sn1 0.000 0.000 0.500
Sn2 0.000 0.500 0.142
Sn3 0.500 0.500 0.500
```


# 3
A relaxed UHg3Pd12 crystal. Source: the Alexandria database, functional GGA-PBE.

Computed properties:
ΔE_f (eV per atom): -0.249
E (eV per atom): -4.9054
Magnetization (μB per atom): 0.043

Structure (CIF):
```
data_UHg3Pd12
_chemical_formula_sum 'U1 Hg3 Pd12'
_cell_length_a 4.078
_cell_length_b 4.078
_cell_length_c 16.252
_cell_angle_alpha 90.00
_cell_angle_beta 90.00
_cell_angle_gamma 90.00
_symmetry_space_group_name_H-M 'P 4/m m m'
_symmetry_Int_Tables_number 123
_symmetry_space_group_name_Hall '-P 4 2'
loop_
_atom_site_label
_atom_site_fract_x
_atom_site_fract_y
_atom_site_fract_z
U1 0.000 0.000 0.000
Hg1 0.000 0.000 0.253
Hg2 0.000 0.000 0.500
Pd1 0.000 0.500 0.121
Pd2 0.000 0.500 0.376
Pd3 0.500 0.500 0.000
Pd4 0.500 0.500 0.249
Pd5 0.500 0.500 0.500
```


# 4
A relaxed Sc3Cu2Tc2 crystal. Source: the Alexandria database, functional GGA-PBE.

Computed properties:
ΔE_f (eV per atom): -0.052
E (eV per atom): -6.8976
Magnetization (μB per atom): 0.000

Structure (CIF):
```
data_Sc3Cu2Tc2
_chemical_formula_sum 'Sc6 Cu4 Tc4'
_cell_length_a 3.969
_cell_length_b 20.320
_cell_length_c 3.033
_cell_angle_alpha 90.00
_cell_angle_beta 90.00
_cell_angle_gamma 90.00
_symmetry_space_group_name_H-M 'C m m m'
_symmetry_Int_Tables_number 65
_symmetry_space_group_name_Hall '-C 2 2'
loop_
_atom_site_label
_atom_site_fract_x
_atom_site_fract_y
_atom_site_fract_z
Sc1 0.000 0.000 0.000
Sc2 0.000 0.150 0.000
Cu1 0.000 0.428 0.500
Tc1 0.000 0.282 0.500
```


# 5
A relaxed TlMo2Rh crystal. Source: the Alexandria database, functional GGA-PBE.

Computed properties:
ΔE_f (eV per atom): 0.399
E (eV per atom): -7.4459
Magnetization (μB per atom): 0.000
E above lowest polymorph (kJ/mol of atoms): 9.8

Structure (CIF):
```
data_TlMo2Rh
_chemical_formula_sum 'Tl2 Mo4 Rh2'
_cell_length_a 4.087
_cell_length_b 4.087
_cell_length_c 8.034
_cell_angle_alpha 90.00
_cell_angle_beta 90.00
_cell_angle_gamma 90.00
_symmetry_space_group_name_H-M 'I -4 m 2'
_symmetry_Int_Tables_number 119
_symmetry_space_group_name_Hall 'I -4 -2'
loop_
_atom_site_label
_atom_site_fract_x
_atom_site_fract_y
_atom_site_fract_z
Tl1 0.000 0.000 0.000
Mo1 0.000 0.000 0.500
Mo2 0.000 0.500 0.750
Rh1 0.000 0.500 0.250
```


# 6
A relaxed CdInNi crystal. Source: the Alexandria database, functional GGA-PBE.

Computed properties:
ΔE_f (eV per atom): 0.132
E (eV per atom): -3.0128
Magnetization (μB per atom): 0.000

Structure (CIF):
```
data_CdInNi
_chemical_formula_sum 'Cd1 In1 Ni1'
_cell_length_a 4.5284
_cell_length_b 4.5284
_cell_length_c 3.1350
_cell_angle_alpha 90.00
_cell_angle_beta 90.00
_cell_angle_gamma 120.00
_symmetry_space_group_name_H-M 'P 3 m 1'
_symmetry_Int_Tables_number 156
loop_
_symmetry_equiv_pos_as_xyz
'x,y,z'
'-y,x-y,z'
'-x+y,-x,z'
'-y,-x,z'
'-x+y,y,z'
'x,x-y,z'
loop_
_atom_site_label
_atom_site_fract_x
_atom_site_fract_y
_atom_site_fract_z
Cd1 0.0000 0.0000 0.0000
In1 0.6667 0.3333 0.4979
Ni1 0.3333 0.6667 0.5063
```


# 7
A relaxed BeHg2Cl crystal. Source: the Alexandria database, functional GGA-PBE.

Computed properties:
E (eV per atom): -1.2036
Energy relative to the elements, uncorrected (meV per atom): 341
Magnetization (μB per atom): 0.000
E above lowest polymorph (kJ/mol of atoms): 52.2

Structure (CIF):
```
data_BeHg2Cl
_chemical_formula_sum 'Be2 Hg4 Cl2'
_cell_length_a 5.562
_cell_length_b 8.517
_cell_length_c 4.599
_cell_angle_alpha 90.00
_cell_angle_beta 118.00
_cell_angle_gamma 90.00
_symmetry_space_group_name_H-M 'C 1 2/m 1'
_symmetry_Int_Tables_number 12
loop_
_symmetry_equiv_pos_as_xyz
'x,y,z'
'-x,-y,-z'
'-x,y,-z'
'x,-y,z'
'x+1/2,y+1/2,z'
'-x+1/2,-y+1/2,-z'
'-x+1/2,y+1/2,-z'
'x+1/2,-y+1/2,z'
loop_
_atom_site_label
_atom_site_fract_x
_atom_site_fract_y
_atom_site_fract_z
Be1 0.000 0.000 0.000
Hg1 0.250 0.250 0.500
Cl1 0.000 0.500 0.000
```


# 8
A relaxed MgSnBiSb crystal. Source: the Alexandria database, functional GGA-PBE.

Computed properties:
E (eV per atom): -3.3717
Energy relative to the elements, uncorrected (meV per atom): 28
Magnetization (μB per atom): 0.000

Structure (CIF):
```
data_MgSnBiSb
_chemical_formula_sum 'Mg4 Sn4 Bi4 Sb4'
_cell_length_a 7.629
_cell_length_b 7.629
_cell_length_c 7.629
_cell_angle_alpha 90.00
_cell_angle_beta 90.00
_cell_angle_gamma 90.00
_symmetry_space_group_name_H-M 'F -4 3 m'
_symmetry_Int_Tables_number 216
_symmetry_space_group_name_Hall 'F -4 2 3'
loop_
_atom_site_label
_atom_site_fract_x
_atom_site_fract_y
_atom_site_fract_z
Mg1 0.000 0.000 0.000
Sn1 0.000 0.000 0.500
Bi1 0.250 0.250 0.750
Sb1 0.250 0.250 0.250
```